VASP calculation (GGA-PBE) on La2FeReIr after structural relaxation.

Structure (POSCAR):
```
La2FeReIr
1.0
-2.603 -1.229 -4.819
3.452 -2.966 -1.108
-2.761 -4.167 2.554
La Ir Fe Re
2 1 1 1
Cartesian
-1.301 -0.615 -2.410
-1.380 -2.084 1.277
0.000 0.000 0.000
-0.956 -4.181 -1.686
1.726 -1.483 -0.554
```

Results
Formation energy: 0.762 eV per atom

***

VASP calculation (GGA-PBE) on LaFeIr2Rh after structural relaxation.

Structure (POSCAR):
```
LaFeIr2Rh
1.0
-2.048 -2.437 -3.539
4.019 -3.302 -0.052
-2.222 -2.754 3.183
Ir Fe La Rh
2 1 1 1
Cartesian
-1.111 -1.377 1.592
-1.024 -1.219 -1.769
-0.125 -4.247 -0.204
2.010 -1.651 -0.026
0.000 0.000 0.000
```

Results
Formation energy: 1.464 eV per atom

***

VASP calculation (GGA-PBE) on LaFeSi3Ir after structural relaxation.

Structure (POSCAR):
```
LaFeSi3Ir
1.0
5.572 0.000 0.000
0.000 7.112 0.000
0.000 -3.556 5.661
Si Ir Fe La
6 2 2 2
Cartesian
2.786 1.738 0.000
4.179 3.556 3.059
1.393 0.000 2.602
0.000 1.738 0.000
2.786 5.374 0.000
0.000 5.374 0.000
1.393 0.000 4.815
4.179 3.556 0.845
4.179 3.556 5.132
1.393 0.000 0.529
4.179 0.000 2.754
1.393 3.556 2.906
```

Results
Energy relative to the elements, uncorrected: -0.50 eV/atom

***

VASP calculation (GGA-PBE) on LaFeSn2Ir after structural relaxation.

Structure (POSCAR):
```
LaFeSn2Ir
1.0
5.088 0.000 0.000
0.000 4.951 0.000
0.000 0.000 5.088
Ir La Sn Fe
1 1 2 1
Cartesian
0.000 0.000 0.000
2.544 2.475 2.544
0.000 0.000 2.544
2.544 0.000 0.000
0.000 2.475 0.000
```

Results
Formation energy: 0.077 eV per atom

***

VASP calculation (GGA-PBE) on LaFeTc2Ir after structural relaxation.

Structure (POSCAR):
```
LaFeTc2Ir
1.0
4.667 0.000 0.000
0.000 4.423 0.000
0.000 0.000 4.667
Tc Ir La Fe
2 1 1 1
Cartesian
0.000 0.000 2.334
2.334 0.000 0.000
2.334 2.212 2.334
0.000 0.000 0.000
0.000 2.212 0.000
```

Results
Formation energy: 2.205 eV per atom

***

VASP calculation (GGA-PBE) on LiFe3Ir after structural relaxation.

Structure (POSCAR):
```
LiFe3Ir
1.0
-3.593 2.317 -1.987
-2.909 -1.671 3.312
0.924 3.750 2.703
Ir Fe Li
1 3 1
Cartesian
0.000 0.000 0.000
-1.455 -0.836 1.656
-1.796 1.159 -0.993
0.462 1.875 1.352
-2.789 2.198 2.014
```

Results
Energy above the most stable polymorph in this dataset: 0.0 meV per atom
Formation energy: 1.021 eV per atom

***

VASP calculation (GGA-PBE) on Li2FeIr after structural relaxation.

Structure (POSCAR):
```
Li2FeIr
1.0
-1.916 -1.306 1.491
0.461 -2.311 -1.431
5.021 -1.939 4.752
Fe Li Ir
1 2 1
Cartesian
2.599 -1.004 2.460
4.930 -1.904 4.665
0.647 -2.339 1.331
2.922 -3.218 3.484
```

Results
Formation energy: 0.075 eV per atom

***

VASP calculation (GGA-PBE) on Li4FeIr after structural relaxation.

Structure (POSCAR):
```
Li4FeIr
1.0
0.000 3.319 3.319
3.319 0.000 3.319
3.319 3.319 0.000
Li Ir Fe
4 1 1
Cartesian
2.479 2.479 2.479
4.158 4.158 2.479
2.479 4.158 4.158
4.158 2.479 4.158
0.000 0.000 0.000
4.978 4.978 4.978
```

Results
Formation energy: 0.187 eV per atom

***

| no. | magnetization (μB per formula unit) |
| --- | --- |
| 1 | 2.96 |
| 2 | 0.01 |
| 3 | 0.01 |
| 4 | 3.13 |
| 5 | 2.79 |
| 6 | 10.22 |
| 7 | 0.71 |
| 8 | 2.97 |